Entry 1:
# RbFe2Se, optimized geometry, DFT GGA-PBE
data_RbFe2Se
_chemical_formula_sum 'Rb4 Fe8 Se4'
_space_group_name_H-M_alt 'F m -3 m'
_space_group_IT_number 225
_space_group_name_Hall '-F 4 2 3'
_cell_length_a 6.367
_cell_length_b 6.367
_cell_length_c 6.367
_cell_angle_alpha 90.00
_cell_angle_beta 90.00
_cell_angle_gamma 90.00
loop_
_atom_site_label
_atom_site_type_symbol
_atom_site_fract_x
_atom_site_fract_y
_atom_site_fract_z
Rb1 Rb 0.000 0.000 0.000
Fe1 Fe 0.250 0.250 0.250
Se1 Se 0.000 0.000 0.500
# Formation energy from raw total energies = 1.46 eV per atom
# Energy above the lowest structure with this stoichiometry = 1.076 eV per atom


Entry 2:
# ScP2AuCl, optimized geometry, DFT GGA-PBE
data_ScP2AuCl
_chemical_formula_sum 'Sc1 P2 Au1 Cl1'
_space_group_name_H-M_alt 'P 4/m m m'
_space_group_IT_number 123
_space_group_name_Hall '-P 4 2'
_cell_length_a 5.059
_cell_length_b 5.059
_cell_length_c 4.766
_cell_angle_alpha 90.00
_cell_angle_beta 90.00
_cell_angle_gamma 90.00
loop_
_atom_site_label
_atom_site_type_symbol
_atom_site_fract_x
_atom_site_fract_y
_atom_site_fract_z
Sc1 Sc 0.000 0.000 0.000
P1 P 0.000 0.500 0.000
Au1 Au 0.500 0.500 0.500
Cl1 Cl 0.000 0.000 0.500
# Formation energy from raw total energies = 0.19 eV per atom
# Energy above the lowest structure with this stoichiometry = 0.000 eV per atom


Entry 3:
# LaPmY14, optimized geometry, DFT GGA-PBE
data_LaPmY14
_chemical_formula_sum 'La1 Pm1 Y14'
_space_group_name_H-M_alt 'P 4/m m m'
_space_group_IT_number 123
_space_group_name_Hall '-P 4 2'
_cell_length_a 7.182
_cell_length_b 7.182
_cell_length_c 10.138
_cell_angle_alpha 90.00
_cell_angle_beta 90.00
_cell_angle_gamma 90.00
loop_
_atom_site_label
_atom_site_type_symbol
_atom_site_fract_x
_atom_site_fract_y
_atom_site_fract_z
La1 La 0.000 0.000 0.000
Pm1 Pm 0.500 0.500 0.000
Y1 Y 0.000 0.000 0.500
Y2 Y 0.000 0.500 0.000
Y3 Y 0.000 0.500 0.500
Y4 Y 0.251 0.251 0.252
Y5 Y 0.500 0.500 0.500
# DFT formation energy = 24 meV per atom


Entry 4:
# HOsBrF, optimized geometry, DFT GGA-PBE
data_HOsBrF
_chemical_formula_sum 'H1 Os1 Br1 F1'
_space_group_name_H-M_alt 'P 1'
_space_group_IT_number 1
_cell_length_a 2.688
_cell_length_b 4.379
_cell_length_c 5.881
_cell_angle_alpha 94.83
_cell_angle_beta 102.87
_cell_angle_gamma 90.01
loop_
_space_group_symop_operation_xyz
'x,y,z'
loop_
_atom_site_label
_atom_site_type_symbol
_atom_site_fract_x
_atom_site_fract_y
_atom_site_fract_z
H1 H 0.000 0.000 0.000
Os1 Os 0.911 0.705 0.818
Br1 Br 0.772 0.083 0.534
F1 F 0.037 0.452 0.077
# Energy above the lowest structure with this stoichiometry = 0.136 eV per atom


Number 1: VASP energy -3.885 eV/atom. Number 2: VASP energy -4.264 eV/atom. Number 3: VASP energy -6.237 eV/atom. Number 4: VASP energy -4.558 eV/atom.